The following is a PBE calculation of a relaxed ThIr crystal, from Alexandria.

Summary:
N(E_F): 4.27 states/eV per cell
Space group: Cmcm, No. 63

Lattice parameters (Å, degrees): 3.8587 4.4562 11.1237 90.00 99.98 90.00
Sites, in units of the cell vectors:
1 Ir 0.0569 0.7500 0.1136
2 Ir 0.8282 0.7500 0.6570
3 Ir 0.9431 0.2500 0.8864
4 Ir 0.1718 0.2500 0.3430
5 Th 0.6946 0.7500 0.3886
6 Th 0.4370 0.7500 0.8743
7 Th 0.3054 0.2500 0.6114
8 Th 0.5630 0.2500 0.1257



The following is a PBE calculation of a relaxed ThIr6 crystal, from Alexandria.

Summary:
N(E_F): 4.58 states/eV per cell
Space group: Im-3m, No. 229

Lattice parameters (Å, degrees): 5.8913 5.8913 5.8913 109.47 109.47 109.47
Sites, in units of the cell vectors:
1 Th 0.0000 0.0000 0.0000
2 Ir 0.2500 0.7500 0.5000
3 Ir 0.5000 0.7500 0.2500
4 Ir 0.2500 0.5000 0.7500
5 Ir 0.7500 0.2500 0.5000
6 Ir 0.5000 0.2500 0.7500
7 Ir 0.7500 0.5000 0.2500



Per-record calculated density, kg/m³: 14959, 14615
Per-record DFT total energy, Ha/atom: -0.3307, -0.3031
Per-record calculated formation energy, eV/atom: -0.86, 0.41